A plane-wave DFT calculation with PBE was carried out for an optimized crystal structure of TcOsSe2N.

Its symmetry is P4/mmm. For the polymorph energy (0 for the lowest one), the calculation gives 0.0 meV per atom. For the formation energy from raw total energies, the calculation gives 867 meV per atom. As for the size of the total moment: 3.65 μB per cell.

a b c (Å): 5.0863 5.0863 3.6627
angles (deg): 90.00 90.00 90.00
Atoms (fractional coordinates):
1 Tc 0.0000 0.0000 0.0000
2 Os 0.5000 0.5000 0.5000
3 Se 0.0000 0.5000 0.5000
4 Se 0.5000 0.0000 0.5000
5 N 0.5000 0.5000 0.0000

A plane-wave DFT calculation with PBE was carried out for an optimized crystal structure of MgCd2In4.

Its symmetry is R-3m. For the polymorph energy (0 for the lowest one), the calculation gives 29.4 meV per atom. As for the size of the total moment: 0.00 μB per cell. For the formation energy, the calculation gives 1.46 kcal/mol of atoms.

a b c (Å): 10.6958 10.6958 10.6958
angles (deg): 25.32 25.32 25.32
Atoms (fractional coordinates):
1 Mg 0.0000 0.0000 0.0000
2 Cd 0.1910 0.1910 0.1910
3 Cd 0.8090 0.8090 0.8090
4 In 0.0956 0.0956 0.0956
5 In 0.2884 0.2884 0.2884
6 In 0.7116 0.7116 0.7116
7 In 0.9044 0.9044 0.9044

A plane-wave DFT calculation with PBE was carried out for an optimized crystal structure of CsAgSb2Te4.

Its symmetry is I222. For the formation energy from raw total energies, the calculation gives -182 meV per atom. As for the size of the total moment: 0.00 μB per cell.

a b c (Å): 8.0413 8.0413 8.0413
angles (deg): 128.08 120.99 82.43
Atoms (fractional coordinates):
1 Cs 0.0000 0.0000 0.0000
2 Ag 0.5000 0.5000 0.0000
3 Sb 0.2163 0.7163 0.5000
4 Sb 0.7837 0.2837 0.5000
5 Te 0.1710 0.5795 0.0565
6 Te 0.4770 0.4205 0.5915
7 Te 0.5230 0.1145 0.9435
8 Te 0.8290 0.8855 0.4085

A plane-wave DFT calculation with PBE was carried out for an optimized crystal structure of TbSc2Au4.

Its symmetry is P4/mmm. As for the size of the total moment: 0.00 μB per cell. For the formation energy, the calculation gives -13.46 kcal/mol of atoms.

a b c (Å): 4.8225 4.8225 6.7488
angles (deg): 90.00 90.00 90.00
Atoms (fractional coordinates):
1 Tb 0.0000 0.0000 0.0000
2 Sc 0.0000 0.0000 0.5000
3 Sc 0.5000 0.5000 0.0000
4 Au 0.0000 0.5000 0.2642
5 Au 0.0000 0.5000 0.7358
6 Au 0.5000 0.0000 0.2642
7 Au 0.5000 0.0000 0.7358

A plane-wave DFT calculation with PBE was carried out for an optimized crystal structure of LaSbRh3.

Its symmetry is Cmcm. For the polymorph energy (0 for the lowest one), the calculation gives 0.0 meV per atom. For the formation energy from raw total energies, the calculation gives -605 meV per atom. As for the size of the total moment: 0.00 μB per cell.

a b c (Å): 6.9463 6.9463 5.1671
angles (deg): 90.00 90.00 128.24
Atoms (fractional coordinates):
1 La 0.0970 0.9030 0.7500
2 La 0.9030 0.0970 0.2500
3 Sb 0.3153 0.6847 0.2500
4 Sb 0.6847 0.3153 0.7500
5 Rh 0.1164 0.4413 0.7500
6 Rh 0.4413 0.1164 0.2500
7 Rh 0.5000 0.5000 0.0000
8 Rh 0.5000 0.5000 0.5000
9 Rh 0.5587 0.8836 0.7500
10 Rh 0.8836 0.5587 0.2500

A plane-wave DFT calculation with PBE was carried out for an optimized crystal structure of LaCd11Pd.

Its symmetry is C2/m. As for the size of the total moment: 0.00 μB per cell. For the formation energy, the calculation gives -4.67 kcal/mol of atoms.

a b c (Å): 7.7233 7.7233 7.6505
angles (deg): 97.59 97.59 136.79
Atoms (fractional coordinates):
1 La 0.0000 0.0000 0.0000
2 Cd 0.0000 0.0000 0.5000
3 Cd 0.0000 0.5000 0.0000
4 Cd 0.0186 0.3615 0.3595
5 Cd 0.2956 0.5044 0.7832
6 Cd 0.3615 0.0186 0.3595
7 Cd 0.4956 0.7044 0.2168
8 Cd 0.5000 0.0000 0.0000
9 Cd 0.5044 0.2956 0.7832
10 Cd 0.6385 0.9814 0.6405
11 Cd 0.7044 0.4956 0.2168
12 Cd 0.9814 0.6385 0.6405
13 Pd 0.5000 0.5000 0.5000

A plane-wave DFT calculation with PBE was carried out for an optimized crystal structure of Cd8Rh.

Its symmetry is I4/mmm. As for the size of the total moment: 0.00 μB per cell. For the formation energy, the calculation gives -0.25 kcal/mol of atoms.

a b c (Å): 6.9204 6.9204 6.9204
angles (deg): 95.38 95.38 144.34
Atoms (fractional coordinates):
1 Cd 0.0000 0.3263 0.3263
2 Cd 0.0000 0.6737 0.6737
3 Cd 0.3263 0.0000 0.3263
4 Cd 0.3409 0.3409 0.6818
5 Cd 0.3409 0.6591 0.0000
6 Cd 0.6591 0.3409 0.0000
7 Cd 0.6591 0.6591 0.3182
8 Cd 0.6737 0.0000 0.6737
9 Rh 0.0000 0.0000 0.0000

A plane-wave DFT calculation with PBE was carried out for an optimized crystal structure of Li2PCl.

Its symmetry is I-42d. For the polymorph energy (0 for the lowest one), the calculation gives 282.3 meV per atom. For the formation energy from raw total energies, the calculation gives -561 meV per atom. As for the size of the total moment: 1.39 μB per cell.

a b c (Å): 5.9512 5.9512 5.9512
angles (deg): 115.22 115.22 98.50
Atoms (fractional coordinates):
1 Li 0.0897 0.6250 0.9647
2 Li 0.3750 0.3397 0.4647
3 Li 0.6603 0.1250 0.0353
4 Li 0.8750 0.9103 0.5353
5 P 0.2500 0.7500 0.5000
6 P 0.5000 0.5000 0.0000
7 Cl 0.0000 0.0000 0.0000
8 Cl 0.7500 0.2500 0.5000

A plane-wave DFT calculation with PBE was carried out for an optimized crystal structure of Cu3BiO6.

Its symmetry is Cmmm. For the polymorph energy (0 for the lowest one), the calculation gives 0.0 meV per atom. For the formation energy from raw total energies, the calculation gives -596 meV per atom. As for the size of the total moment: 2.02 μB per cell.

a b c (Å): 6.0343 6.0343 3.3990
angles (deg): 90.00 90.00 110.84
Atoms (fractional coordinates):
1 Cu 0.0000 0.0000 0.0000
2 Cu 0.0000 0.5000 0.5000
3 Cu 0.5000 0.0000 0.5000
4 Bi 0.5000 0.5000 0.0000
5 O 0.0680 0.3236 0.0000
6 O 0.3236 0.0680 0.0000
7 O 0.3416 0.6584 0.5000
8 O 0.6584 0.3416 0.5000
9 O 0.6764 0.9320 0.0000
10 O 0.9320 0.6764 0.0000

A plane-wave DFT calculation with PBE was carried out for an optimized crystal structure of Na2Re2C.

Its symmetry is I4/mmm. For the polymorph energy (0 for the lowest one), the calculation gives 0.0 meV per atom. As for the size of the total moment: 1.41 μB per cell. For the formation energy, the calculation gives 38.71 kcal/mol of atoms.

a b c (Å): 9.1208 9.1208 9.1208
angles (deg): 158.12 158.12 31.13
Atoms (fractional coordinates):
1 Na 0.0844 0.0844 0.0000
2 Na 0.9156 0.9156 0.0000
3 Re 0.2500 0.7500 0.5000
4 Re 0.7500 0.2500 0.5000
5 C 0.5000 0.5000 0.0000

A plane-wave DFT calculation with PBE was carried out for an optimized crystal structure of Y7Cu2Pd2.

Its symmetry is Cmmm. As for the size of the total moment: 0.00 μB per cell. For the formation energy, the calculation gives -3.95 kcal/mol of atoms.

a b c (Å): 6.6245 6.6245 7.2016
angles (deg): 90.00 90.00 110.32
Atoms (fractional coordinates):
1 Y 0.0000 0.0000 0.0000
2 Y 0.0000 0.5000 0.2714
3 Y 0.0000 0.5000 0.7286
4 Y 0.5000 0.0000 0.2714
5 Y 0.5000 0.0000 0.7286
6 Y 0.5000 0.5000 0.2651
7 Y 0.5000 0.5000 0.7349
8 Cu 0.1709 0.1709 0.5000
9 Cu 0.8291 0.8291 0.5000
10 Pd 0.2919 0.7081 0.0000
11 Pd 0.7081 0.2919 0.0000

A plane-wave DFT calculation with PBE was carried out for an optimized crystal structure of PmMgHg.

Its symmetry is Pmn2_1. For the polymorph energy (0 for the lowest one), the calculation gives 155.1 meV per atom. As for the size of the total moment: 0.00 μB per cell. For the formation energy, the calculation gives -5.88 kcal/mol of atoms.

a b c (Å): 3.6405 11.7241 3.6395
angles (deg): 90.00 90.00 90.00
Atoms (fractional coordinates):
1 Pm 0.0000 0.1154 0.0000
2 Pm 0.5000 0.8846 0.5000
3 Mg 0.0000 0.4222 0.9974
4 Mg 0.5000 0.5778 0.4974
5 Hg 0.0000 0.7068 0.9991
6 Hg 0.5000 0.2932 0.4991